(1)
# MgCrAsPt2 GGA-PBE optimized geometry
# E_form, eV/atom: 0.35
# E_tot, eV per atom: -5.242
data_MgCrAsPt2
_chemical_formula_sum 'Mg1 Cr1 As1 Pt2'
_space_group_name_H-M_alt 'P 4/m m m'
_space_group_IT_number 123
_space_group_name_Hall '-P 4 2'
_cell_length_a 4.720
_cell_length_b 4.720
_cell_length_c 4.462
_cell_angle_alpha 90.00
_cell_angle_beta 90.00
_cell_angle_gamma 90.00
loop_
_atom_site_label
_atom_site_type_symbol
_atom_site_fract_x
_atom_site_fract_y
_atom_site_fract_z
Mg1 Mg 0.000 0.000 0.000
Cr1 Cr 0.500 0.500 0.500
As1 As 0.500 0.500 0.000
Pt1 Pt 0.000 0.500 0.500

(2)
# MgCrAs2Se GGA-PBE optimized geometry
# Distance to the lowest polymorph of the same formula, meV per atom: 0.0
# E_tot, eV per atom: -4.674
# Formation energy without anion corrections, eV per atom: 0.126
data_MgCrAs2Se
_chemical_formula_sum 'Mg1 Cr1 As2 Se1'
_space_group_name_H-M_alt 'P 4/m m m'
_space_group_IT_number 123
_space_group_name_Hall '-P 4 2'
_cell_length_a 4.514
_cell_length_b 4.514
_cell_length_c 5.591
_cell_angle_alpha 90.00
_cell_angle_beta 90.00
_cell_angle_gamma 90.00
loop_
_atom_site_label
_atom_site_type_symbol
_atom_site_fract_x
_atom_site_fract_y
_atom_site_fract_z
Mg1 Mg 0.000 0.000 0.000
Cr1 Cr 0.500 0.500 0.500
As1 As 0.000 0.500 0.500
Se1 Se 0.500 0.500 0.000

(3)
# MgCrAsSe2 GGA-PBE optimized geometry
# Distance to the lowest polymorph of the same formula, meV per atom: 0.0
# E_tot, eV per atom: -4.519
# Formation energy without anion corrections, eV per atom: 0.048
data_MgCrAsSe2
_chemical_formula_sum 'Mg1 Cr1 As1 Se2'
_space_group_name_H-M_alt 'P 4/m m m'
_space_group_IT_number 123
_space_group_name_Hall '-P 4 2'
_cell_length_a 4.934
_cell_length_b 4.934
_cell_length_c 4.659
_cell_angle_alpha 90.00
_cell_angle_beta 90.00
_cell_angle_gamma 90.00
loop_
_atom_site_label
_atom_site_type_symbol
_atom_site_fract_x
_atom_site_fract_y
_atom_site_fract_z
Mg1 Mg 0.000 0.000 0.000
Cr1 Cr 0.500 0.500 0.500
As1 As 0.500 0.500 0.000
Se1 Se 0.000 0.500 0.500

(4)
# Mg2ZnCrAs GGA-PBE optimized geometry
# E_form, eV/atom: 0.52
# E_tot, eV per atom: -3.228
data_Mg2ZnCrAs
_chemical_formula_sum 'Mg2 Zn1 Cr1 As1'
_space_group_name_H-M_alt 'P 4/m m m'
_space_group_IT_number 123
_space_group_name_Hall '-P 4 2'
_cell_length_a 4.840
_cell_length_b 4.840
_cell_length_c 4.704
_cell_angle_alpha 90.00
_cell_angle_beta 90.00
_cell_angle_gamma 90.00
loop_
_atom_site_label
_atom_site_type_symbol
_atom_site_fract_x
_atom_site_fract_y
_atom_site_fract_z
Mg1 Mg 0.000 0.500 0.000
Zn1 Zn 0.000 0.000 0.000
Cr1 Cr 0.000 0.000 0.500
As1 As 0.500 0.500 0.500

(5)
# MnCrAs GGA-PBE optimized geometry
# E_form, eV/atom: 0.03
# E_tot, eV per atom: -7.781
data_MnCrAs
_chemical_formula_sum 'Mn1 Cr1 As1'
_space_group_name_H-M_alt 'P 3 m 1'
_space_group_IT_number 156
_space_group_name_Hall 'P 3 -2"'
_cell_length_a 4.0798
_cell_length_b 4.0798
_cell_length_c 2.7833
_cell_angle_alpha 90.00
_cell_angle_beta 90.00
_cell_angle_gamma 120.00
loop_
_atom_site_label
_atom_site_type_symbol
_atom_site_fract_x
_atom_site_fract_y
_atom_site_fract_z
Mn1 Mn 0.0000 0.0000 0.0000
Cr1 Cr 0.3333 0.6667 0.4992
As1 As 0.6667 0.3333 0.9974

(6)
# Mn2CrAs GGA-PBE optimized geometry
# E_form, eV/atom: 0.04
# E_tot, eV per atom: -8.116
data_Mn2CrAs
_chemical_formula_sum 'Mn2 Cr1 As1'
_space_group_name_H-M_alt 'P m m m'
_space_group_IT_number 47
_space_group_name_Hall '-P 2 2'
_cell_length_a 3.176
_cell_length_b 3.258
_cell_length_c 5.225
_cell_angle_alpha 90.00
_cell_angle_beta 90.00
_cell_angle_gamma 90.00
loop_
_atom_site_label
_atom_site_type_symbol
_atom_site_fract_x
_atom_site_fract_y
_atom_site_fract_z
Mn1 Mn 0.000 0.000 0.247
Cr1 Cr 0.500 0.500 0.000
As1 As 0.500 0.500 0.500

(7)
# MnCrAs GGA-PBE optimized geometry
# E_form, eV/atom: 0.00
# E_tot, eV per atom: -7.815
data_MnCrAs
_chemical_formula_sum 'Mn4 Cr4 As4'
_space_group_name_H-M_alt 'F -4 3 m'
_space_group_IT_number 216
_space_group_name_Hall 'F -4 2 3'
_cell_length_a 5.708
_cell_length_b 5.708
_cell_length_c 5.708
_cell_angle_alpha 90.00
_cell_angle_beta 90.00
_cell_angle_gamma 90.00
loop_
_atom_site_label
_atom_site_type_symbol
_atom_site_fract_x
_atom_site_fract_y
_atom_site_fract_z
Mn1 Mn 0.000 0.000 0.000
Cr1 Cr 0.250 0.250 0.750
As1 As 0.000 0.000 0.500

(8)
# Mn3CrAs4 GGA-PBE optimized geometry
# E_form, eV/atom: -0.25
# E_tot, eV per atom: -7.217
data_Mn3CrAs4
_chemical_formula_sum 'Mn3 Cr1 As4'
_space_group_name_H-M_alt 'P 1 m 1'
_space_group_IT_number 6
_space_group_name_Hall 'P -2y'
_cell_length_a 5.551
_cell_length_b 3.440
_cell_length_c 6.078
_cell_angle_alpha 90.00
_cell_angle_beta 90.12
_cell_angle_gamma 90.00
loop_
_atom_site_label
_atom_site_type_symbol
_atom_site_fract_x
_atom_site_fract_y
_atom_site_fract_z
Mn1 Mn 0.000 0.000 0.000
Mn2 Mn 0.006 0.500 0.615
Mn3 Mn 0.500 0.000 0.113
Cr1 Cr 0.507 0.500 0.501
As1 As 0.202 0.500 0.225
As2 As 0.304 0.000 0.726
As3 As 0.701 0.500 0.888
As4 As 0.807 0.000 0.386